1.
5
Lattice="2.749 0.000 0.000 0.000 4.989 0.002 0.000 -1.862 4.628" Properties=species:S:1:pos:R:3 comment="NaHPd3 PBEsol optimized geometry" de_polymorph_mev_per_atom=0 volume_a3_per_fu=63.5 dos_at_fermi_per_ev_fu=2.97 pbc="T T T"
Na 1.374 -0.875 3.962
Pd 1.374 2.642 1.587
Pd 0.000 1.641 3.948
Pd 0.000 0.078 1.633
H 1.374 1.125 2.612


2.
7
Lattice="4.892 -0.001 0.001 -2.199 4.370 -0.001 2.199 1.659 4.043" Properties=species:S:1:pos:R:3 comment="Na2H4Pt PBEsol optimized geometry" volume_a3_per_fu=86.4 dos_at_fermi_per_ev_fu=0.00 final_energy_ev_per_atom=-3.6313 pbc="T T T"
Na 2.446 1.507 1.011
Na 2.446 4.522 3.032
Pt 0.000 0.000 0.000
H 3.424 2.275 3.124
H 1.468 3.753 0.919
H 0.000 1.371 0.919
H 0.000 4.658 3.123


3.
5
Lattice="4.269 0.000 0.000 0.000 5.063 0.000 0.000 0.000 5.063" Properties=species:S:1:pos:R:3 comment="NaSr2HPt PBEsol optimized geometry" volume_a3_per_fu=109.5 dos_at_fermi_per_ev_fu=2.29 final_energy_ev_per_atom=-3.3870 pbc="T T T"
Sr 0.000 0.000 2.532
Sr 0.000 2.532 0.000
H 0.000 0.000 0.000
Pt 2.135 2.532 2.532
Na 2.135 0.000 0.000


4.
4
Lattice="5.816 0.000 0.000 2.908 5.037 0.000 2.908 1.679 4.749" Properties=species:S:1:pos:R:3 comment="RbNa2H PBEsol optimized geometry" de_polymorph_mev_per_atom=382 volume_a3_per_fu=139.1 dos_at_fermi_per_ev_fu=1.51 pbc="T T T"
Na 2.908 1.679 1.187
Na 8.725 5.037 3.562
Rb 5.816 3.358 2.375
H 0.000 0.000 0.000